This record from Alexandria via LeMat-Bulk describes a relaxed structure of Sm4DyTe7. The functional is PBE.

a = 7.5700 Å, b = 7.5700 Å, c = 13.3375 Å
α = 103.76°, β = 103.76°, γ = 33.03°
Positions (direct):
1 Sm 0.0000 0.0000 0.0000
2 Sm 0.1850 0.1850 0.7643
3 Sm 0.5861 0.5861 0.3858
4 Sm 0.8853 0.8853 0.5734
5 Dy 0.7703 0.7703 0.1510
6 Te 0.1470 0.1470 0.2247
7 Te 0.2236 0.2236 0.5265
8 Te 0.3830 0.3830 0.0767
9 Te 0.5468 0.5468 0.6234
10 Te 0.6293 0.6293 0.9276
11 Te 0.8482 0.8482 0.7913
12 Te 0.9219 0.9219 0.3552

Output
**E_tot**: -62.399 eV per cell
**ΔE_f (raw)**: -16.929 eV per formula unit
**Size of the total moment**: 0.00 μB/f.u.

This record from Alexandria via LeMat-Bulk describes a relaxed structure of Sm6DyTe8. The functional is PBE.

a = 8.8481 Å, b = 8.8481 Å, c = 8.8481 Å
α = 60.00°, β = 60.00°, γ = 60.00°
Positions (direct):
1 Sm 0.0000 0.0000 0.5000
2 Sm 0.0000 0.5000 0.0000
3 Sm 0.0000 0.5000 0.5000
4 Sm 0.5000 0.0000 0.0000
5 Sm 0.5000 0.0000 0.5000
6 Sm 0.5000 0.5000 0.0000
7 Dy 0.0000 0.0000 0.0000
8 Te 0.2500 0.2500 0.2500
9 Te 0.2518 0.2518 0.7482
10 Te 0.2518 0.7482 0.2518
11 Te 0.2518 0.7482 0.7482
12 Te 0.7482 0.2518 0.2518
13 Te 0.7482 0.2518 0.7482
14 Te 0.7482 0.7482 0.2518
15 Te 0.7500 0.7500 0.7500

Output
**E_tot**: -79.435 eV per cell
**ΔE_f (raw)**: -21.385 eV per formula unit
**Size of the total moment**: 0.00 μB/f.u.

This record from Alexandria via LeMat-Bulk describes a relaxed structure of Sm3Dy2Te5. The functional is PBE.

a = 8.6316 Å, b = 8.6316 Å, c = 11.1634 Å
α = 123.37°, β = 123.37°, γ = 29.31°
Positions (direct):
1 Sm 0.0000 0.0000 0.0000
2 Sm 0.2290 0.2290 0.6846
3 Sm 0.7710 0.7710 0.3154
4 Dy 0.4754 0.4754 0.6711
5 Dy 0.5246 0.5246 0.3289
6 Te 0.0000 0.0000 0.5000
7 Te 0.1511 0.1511 0.3356
8 Te 0.3658 0.3658 0.0189
9 Te 0.6342 0.6342 0.9811
10 Te 0.8489 0.8489 0.6644

Output
**E_tot**: -50.772 eV per cell
**ΔE_f (raw)**: -11.702 eV per formula unit
**Size of the total moment**: 0.00 μB/f.u.

Q: The lowest E_tot belongs to which entry?
A: Sm6DyTe8

Q: What is the E_tot in the first record?
A: -62.399 eV per cell